Entry 1:
A relaxed structure of SmPaAgO6. Source: Alexandria via LeMat-Bulk, functional PBE.

Unit cell a=5.551 b=5.551 c=4.948 alpha=90.00 beta=90.00 gamma=120.00
Element x y z (fractional)
1 Sm 0.000 0.000 0.000
2 Pa 0.333 0.667 0.500
3 Ag 0.667 0.333 0.000
4 O 0.004 0.360 0.753
5 O 0.004 0.644 0.247
6 O 0.356 0.360 0.247
7 O 0.356 0.996 0.753
8 O 0.640 0.644 0.753
9 O 0.640 0.996 0.247

Summary:
**Total moment**: 0.29 μB/cell
**Formation energy without anion corrections**: -2.1382 eV per atom
**Crystal system**: trigonal
**Calculated volume**: 132 Å³/cell

---

Entry 2:
A relaxed structure of TiBeSb. Source: Alexandria via LeMat-Bulk, functional PBE.

Unit cell a=3.599 b=4.152 c=13.845 alpha=90.00 beta=90.00 gamma=90.00
Element x y z (fractional)
1 Ti 0.000 0.000 0.178
2 Ti 0.000 0.000 0.822
3 Ti 0.500 0.500 0.322
4 Ti 0.500 0.500 0.678
5 Be 0.000 0.239 0.000
6 Be 0.000 0.761 0.000
7 Be 0.500 0.261 0.500
8 Be 0.500 0.739 0.500
9 Sb 0.000 0.000 0.379
10 Sb 0.000 0.000 0.621
11 Sb 0.500 0.500 0.121
12 Sb 0.500 0.500 0.879

Summary:
**Total moment**: 0.00 μB/cell
**Formation energy without anion corrections**: 0.0160 eV per atom
**Crystal system**: orthorhombic
**Calculated volume**: 207 Å³/cell

---

Entry 3:
A relaxed structure of SrRe3W. Source: Alexandria via LeMat-Bulk, functional PBE.

Unit cell a=4.859 b=4.859 c=4.859 alpha=90.00 beta=90.00 gamma=90.00
Element x y z (fractional)
1 Sr 0.000 0.000 0.000
2 Re 0.000 0.500 0.500
3 Re 0.500 0.000 0.500
4 Re 0.500 0.500 0.000
5 W 0.500 0.500 0.500

Summary:
**Total moment**: 2.32 μB/cell
**Energy relative to the lowest polymorph listed for this composition**: 0 meV/atom
**E_form**: 812.6 kJ/mol of formula units
**Crystal system**: cubic
**Calculated volume**: 115 Å³/cell

---

Entry 4:
A relaxed structure of Ac2Rh3Pb. Source: Alexandria via LeMat-Bulk, functional PBE.

Unit cell a=4.557 b=4.557 c=17.344 alpha=90.00 beta=90.00 gamma=120.00
Element x y z (fractional)
1 Ac 0.000 0.000 0.112
2 Ac 0.000 0.000 0.388
3 Ac 0.000 0.000 0.612
4 Ac 0.000 0.000 0.888
5 Rh 0.333 0.667 0.002
6 Rh 0.333 0.667 0.498
7 Rh 0.333 0.667 0.750
8 Rh 0.667 0.333 0.250
9 Rh 0.667 0.333 0.502
10 Rh 0.667 0.333 0.998
11 Pb 0.333 0.667 0.250
12 Pb 0.667 0.333 0.750

Summary:
**Total moment**: 0.00 μB/cell
**Energy relative to the lowest polymorph listed for this composition**: 0 meV/atom
**E_form**: -265.8 kJ/mol of formula units
**Crystal system**: hexagonal
**Calculated volume**: 312 Å³/cell

---

Entry 5:
A relaxed structure of CsK2BiCl. Source: Alexandria via LeMat-Bulk, functional PBE.

Unit cell a=6.005 b=6.005 c=6.578 alpha=90.00 beta=90.00 gamma=90.00
Element x y z (fractional)
1 Cs 0.000 0.000 0.000
2 K 0.000 0.500 0.500
3 K 0.500 0.000 0.500
4 Bi 0.500 0.500 0.000
5 Cl 0.000 0.000 0.500

Summary:
**Total moment**: 1.03 μB/cell
**Formation energy without anion corrections**: -0.8386 eV per atom
**Crystal system**: tetragonal
**Calculated volume**: 237 Å³/cell

---

Entry 6:
A relaxed structure of Al7Ga12Ag. Source: Alexandria via LeMat-Bulk, functional PBE.

Unit cell a=8.330 b=8.330 c=8.330 alpha=109.47 beta=109.47 gamma=109.47
Element x y z (fractional)
1 Al 0.000 0.000 0.500
2 Al 0.000 0.500 0.000
3 Al 0.000 0.500 0.500
4 Al 0.500 0.000 0.000
5 Al 0.500 0.000 0.500
6 Al 0.500 0.500 0.000
7 Al 0.500 0.500 0.500
8 Ga 0.116 0.262 0.854
9 Ga 0.146 0.408 0.262
10 Ga 0.146 0.884 0.738
11 Ga 0.262 0.146 0.408
12 Ga 0.262 0.854 0.116
13 Ga 0.408 0.262 0.146
14 Ga 0.592 0.738 0.854
15 Ga 0.738 0.146 0.884
16 Ga 0.738 0.854 0.592
17 Ga 0.854 0.116 0.262
18 Ga 0.854 0.592 0.738
19 Ga 0.884 0.738 0.146
20 Ag 0.000 0.000 0.000

Summary:
**Total moment**: 0.00 μB/cell
**E_form**: 475.9 kJ/mol of formula units
**Crystal system**: cubic
**Calculated volume**: 445 Å³/cell

---

Entry 7:
A relaxed structure of MgZr2Zn. Source: Alexandria via LeMat-Bulk, functional PBE.

Unit cell a=7.888 b=7.888 c=5.509 alpha=90.00 beta=90.00 gamma=90.00
Element x y z (fractional)
1 Mg 0.000 0.000 0.000
2 Mg 0.000 0.500 0.250
3 Mg 0.500 0.000 0.750
4 Mg 0.500 0.500 0.500
5 Zr 0.229 0.250 0.625
6 Zr 0.250 0.729 0.875
7 Zr 0.250 0.771 0.375
8 Zr 0.271 0.250 0.125
9 Zr 0.729 0.750 0.125
10 Zr 0.750 0.229 0.375
11 Zr 0.750 0.271 0.875
12 Zr 0.771 0.750 0.625
13 Zn 0.000 0.000 0.500
14 Zn 0.000 0.500 0.750
15 Zn 0.500 0.000 0.250
16 Zn 0.500 0.500 0.000

Summary:
**Total moment**: 0.00 μB/cell
**Energy relative to the lowest polymorph listed for this composition**: 364 meV/atom
**E_form**: 96.8 kJ/mol of formula units
**Crystal system**: tetragonal
**Calculated volume**: 343 Å³/cell

---

Entry 8:
A relaxed structure of PuAlV. Source: Alexandria via LeMat-Bulk, functional PBE.

Unit cell a=10.435 b=4.692 c=4.054 alpha=90.00 beta=97.02 gamma=90.00
Element x y z (fractional)
1 Pu 0.062 0.000 0.275
2 Pu 0.438 0.500 0.725
3 Pu 0.562 0.500 0.275
4 Pu 0.938 0.000 0.725
5 Al 0.108 0.500 0.788
6 Al 0.392 0.000 0.212
7 Al 0.608 0.000 0.788
8 Al 0.892 0.500 0.212
9 V 0.221 0.000 0.676
10 V 0.279 0.500 0.324
11 V 0.721 0.500 0.676
12 V 0.779 0.000 0.324

Summary:
**Total moment**: 0.00 μB/cell
**Energy relative to the lowest polymorph listed for this composition**: 38 meV/atom
**E_form**: 24.1 kJ/mol of formula units
**Crystal system**: monoclinic
**Calculated volume**: 197 Å³/cell

---

Entry 9:
A relaxed structure of La2MoRu. Source: Alexandria via LeMat-Bulk, functional PBE.

Unit cell a=5.080 b=5.080 c=3.580 alpha=90.00 beta=90.00 gamma=90.00
Element x y z (fractional)
1 La 0.000 0.500 0.000
2 La 0.500 0.000 0.000
3 Mo 0.000 0.000 0.500
4 Ru 0.500 0.500 0.500

Summary:
**Total moment**: 1.48 μB/cell
**Energy relative to the lowest polymorph listed for this composition**: 315 meV/atom
**E_form**: 145.1 kJ/mol of formula units
**Crystal system**: tetragonal
**Calculated volume**: 92 Å³/cell

---

Entry 10:
A relaxed structure of Ca3CdAg. Source: Alexandria via LeMat-Bulk, functional PBE.

Unit cell a=5.713 b=5.713 c=5.713 alpha=90.00 beta=90.00 gamma=90.00
Element x y z (fractional)
1 Ca 0.000 0.000 0.500
2 Ca 0.000 0.500 0.000
3 Ca 0.500 0.000 0.000
4 Cd 0.500 0.500 0.500
5 Ag 0.000 0.000 0.000

Summary:
**Total moment**: 0.00 μB/cell
**Energy relative to the lowest polymorph listed for this composition**: 224 meV/atom
**E_form**: -12.8 kJ/mol of formula units
**Crystal system**: cubic
**Calculated volume**: 186 Å³/cell

---

Entry 11:
A relaxed structure of Ni4Cl. Source: Alexandria via LeMat-Bulk, functional PBE.

Unit cell a=5.063 b=5.063 c=5.063 alpha=90.00 beta=90.00 gamma=90.00
Element x y z (fractional)
1 Ni 0.250 0.250 0.250
2 Ni 0.250 0.250 0.750
3 Ni 0.250 0.750 0.250
4 Ni 0.250 0.750 0.750
5 Ni 0.750 0.250 0.250
6 Ni 0.750 0.250 0.750
7 Ni 0.750 0.750 0.250
8 Ni 0.750 0.750 0.750
9 Cl 0.000 0.000 0.000
10 Cl 0.500 0.500 0.500

Summary:
**Total moment**: 0.00 μB/cell
**Energy relative to the lowest polymorph listed for this composition**: 278 meV/atom
**Formation energy without anion corrections**: 0.7228 eV per atom
**Crystal system**: cubic
**Calculated volume**: 130 Å³/cell

---

Entry 12:
A relaxed structure of BeB. Source: Alexandria via LeMat-Bulk, functional PBE.

Unit cell a=3.052 b=3.052 c=3.784 alpha=90.00 beta=90.00 gamma=120.00
Element x y z (fractional)
1 Be 0.333 0.667 0.362
2 Be 0.667 0.333 0.638
3 B 0.333 0.667 0.896
4 B 0.667 0.333 0.104

Summary:
**Total moment**: 0.00 μB/cell
**Energy relative to the lowest polymorph listed for this composition**: 0 meV/atom
**E_form**: 5.9 kJ/mol of formula units
**Crystal system**: trigonal
**Calculated volume**: 31 Å³/cell